{"formula": "CaOsPb", "functional": "PBE", "state": "optimized geometry", "cell": [[0.000, 3.348, 3.348], [3.348, 0.000, 3.348], [3.348, 3.348, 0.000]], "species": ["Ca", "Os", "Pb"], "fractional_positions": [[0.000, 0.000, 0.000], [0.250, 0.250, 0.250], [0.500, 0.500, 0.500]], "rho_g_cm3": 9.7, "energy_ev_per_cell": -15.5, "magmom_total_mub_per_cell": 0.000, "dos_at_fermi_per_ev_cell": 1.32}